No. 1
Er2Al3Ag2 | PBE | relaxed

## Properties
The polymorph energy (0 for the lowest one) is 0.32 eV/f.u. The calculation puts the mass density at 7.1 g/cm³. For the density of states at the Fermi level, the calculation gives 10.0 states/eV per cell. The formation energy from the elements comes out at -0.333 eV/atom. The size of the total moment comes out at 0.00 μB per cell.

POSCAR file:
```
Er2Al3Ag2
1.0
2.123 -9.443 0.000
2.123 9.443 0.000
0.000 0.000 7.367
Er Al Ag
4 6 4
direct
0.051 0.949 0.750
0.156 0.844 0.250
0.844 0.156 0.750
0.949 0.051 0.250
0.224 0.776 0.750
0.440 0.560 0.575
0.440 0.560 0.925
0.560 0.440 0.075
0.560 0.440 0.425
0.776 0.224 0.250
0.311 0.689 0.053
0.311 0.689 0.447
0.689 0.311 0.553
0.689 0.311 0.947
```



No. 2
RbLiAc2 | PBE | relaxed

## Properties
The calculation puts the mass density at 5.0 g/cm³. For the density of states at the Fermi level, the calculation gives 3.0 states/eV per cell. The formation energy from the elements comes out at 0.287 eV/atom. The size of the total moment comes out at 0.00 μB per cell.

POSCAR file:
```
RbLiAc2
1.0
1.961 1.132 13.504
-1.961 1.132 13.504
0.000 -2.265 13.504
Rb Li Ac
1 1 2
direct
0.000 0.000 0.000
0.500 0.500 0.500
0.100 0.100 0.100
0.900 0.900 0.900
```



No. 3
V2CuIr9 | PBE | relaxed

## Properties
The calculation puts the mass density at 18.5 g/cm³. For the density of states at the Fermi level, the calculation gives 12.0 states/eV per cell. The formation energy from the elements comes out at -0.286 eV/atom. The size of the total moment comes out at 0.00 μB per cell.

POSCAR file:
```
V2CuIr9
1.0
3.835 0.000 0.000
0.000 3.835 0.000
0.000 0.000 11.538
V Cu Ir
2 1 9
direct
0.000 0.000 0.173
0.000 0.000 0.827
0.000 0.000 0.500
0.000 0.500 0.000
0.000 0.500 0.329
0.000 0.500 0.671
0.500 0.000 0.000
0.500 0.000 0.329
0.500 0.000 0.671
0.500 0.500 0.165
0.500 0.500 0.500
0.500 0.500 0.835
```



No. 4
ReHgCl3 | PBE | relaxed

## Properties
The polymorph energy (0 for the lowest one) is 0.00 eV/f.u. The calculation puts the mass density at 6.8 g/cm³. For the density of states at the Fermi level, the calculation gives 2.4 states/eV per cell. The size of the total moment comes out at 3.14 μB per cell. As for the formation energy (no corrections): 0.071 eV/atom.

POSCAR file:
```
ReHgCl3
1.0
4.944 0.000 0.000
0.000 4.944 0.000
0.000 0.000 4.944
Re Hg Cl
1 1 3
direct
0.000 0.000 0.000
0.500 0.500 0.500
0.000 0.000 0.500
0.000 0.500 0.000
0.500 0.000 0.000
```



> What is the mass density in the second record?

5.0 g/cm³



> Among the records above, which one has the lowest mass density?

RbLiAc2



> Look up the size of the total moment of the third one.

0.00 μB per cell



Copy entry 2 word for word.
RbLiAc2 | PBE | relaxed

## Properties
The calculation puts the mass density at 5.0 g/cm³. For the density of states at the Fermi level, the calculation gives 3.0 states/eV per cell. The formation energy from the elements comes out at 0.287 eV/atom. The size of the total moment comes out at 0.00 μB per cell.

POSCAR file:
```
RbLiAc2
1.0
1.961 1.132 13.504
-1.961 1.132 13.504
0.000 -2.265 13.504
Rb Li Ac
1 1 2
direct
0.000 0.000 0.000
0.500 0.500 0.500
0.100 0.100 0.100
0.900 0.900 0.900
```